[1]
A relaxed structure of ZrBeTe2, computed with PBE-GGA.

Properties
Density of states at the Fermi level ... 1.87 states/eV/f.u.

abc: 3.7708 3.8261 7.5782
angles: 90.00 104.15 90.00
Space group Pm (No. 6)
Symmetry-distinct sites (fractional):
Zr 0.0000 0.0000 0.0000
Be 0.5598 0.5000 0.1263
Te 0.4028 0.5000 0.8009
Te 0.6545 0.0000 0.3126

***

[2]
A relaxed structure of Zr3BeTe3, computed with PBE-GGA.

Properties
Density of states at the Fermi level ... 3.66 states/eV/f.u.

abc: 11.1387 11.1387 11.1387
angles: 90.00 90.00 90.00
Space group I4_132 (No. 214)
Symmetry-distinct sites (fractional):
Zr 0.1111 0.3611 0.1250
Be 0.1250 0.1250 0.1250
Te 0.1158 0.1342 0.6250

***

[3]
A relaxed structure of ZrBeTe2, computed with PBE-GGA.

Properties
Density of states at the Fermi level ... 0.81 states/eV/f.u.

abc: 3.7487 3.7487 21.6616
angles: 90.00 90.00 120.00
Space group R-3m (No. 166, hexagonal axes)
Symmetry-distinct sites (fractional):
Zr 0.0000 0.0000 0.0000
Be 0.0000 0.0000 0.5000
Te 0.0000 0.0000 0.2390

***

[4]
A relaxed structure of ZrBe3Te, computed with PBE-GGA.

Properties
Density of states at the Fermi level ... 4.80 states/eV/f.u.

abc: 4.5551 4.5551 4.5551
angles: 90.00 90.00 90.00
Space group Pm-3m (No. 221)
Symmetry-distinct sites (fractional):
Zr 0.0000 0.0000 0.0000
Be 0.0000 0.5000 0.5000
Te 0.5000 0.5000 0.5000

***

Here are the calculated uncorrected formation energy numbers, same order: -0.54; -0.60; -0.30; 1.25 (eV/atom).
Here are the calculated magnetization numbers, same order: 0.000; 0.000; 0.000; 0.000 (μB per atom).